Record 1
Density functional theory data (PBE) for a geometry-optimized CdRe2As structure.

Cell: 2.870 2.870 30.201 Å, 90.00 90.00 120.00°
Atoms (fractional coordinates):
Cd1 0.000 0.000 0.000
Cd2 0.333 0.667 0.667
Cd3 0.667 0.333 0.333
Re1 0.000 0.000 0.487
Re2 0.000 0.000 0.751
Re3 0.333 0.667 0.153
Re4 0.333 0.667 0.418
Re5 0.667 0.333 0.085
Re6 0.667 0.333 0.820
As1 0.000 0.000 0.223
As2 0.333 0.667 0.890
As3 0.667 0.333 0.556

Spin magnetization = 0.00 μB per formula unit
Energy above the most stable polymorph in this dataset = 15 meV/atom
Formation energy = 213 meV/atom
V = 216 Å³/cell
Crystal system = trigonal



Record 2
Density functional theory data (PBE) for a geometry-optimized YInCu2 structure.

Cell: 4.616 4.616 3.634 Å, 90.00 90.00 90.00°
Atoms (fractional coordinates):
Y1 0.000 0.000 0.000
In1 0.500 0.500 0.000
Cu1 0.000 0.500 0.500
Cu2 0.500 0.000 0.500

Spin magnetization = 0.00 μB per formula unit
Formation energy = -129 meV/atom
V = 77 Å³/cell
Crystal system = tetragonal



Record 3
Density functional theory data (PBE) for a geometry-optimized V3ReRu structure.

Cell: 4.446 4.446 4.446 Å, 90.00 90.00 90.00°
Atoms (fractional coordinates):
V1 0.000 0.000 0.500
V2 0.000 0.500 0.000
V3 0.500 0.000 0.000
Re1 0.500 0.500 0.500
Ru1 0.000 0.000 0.000

Spin magnetization = 1.47 μB per formula unit
Energy above the most stable polymorph in this dataset = 1651 meV/atom
Formation energy = 1374 meV/atom
V = 88 Å³/cell
Crystal system = cubic



Record 4
Density functional theory data (PBE) for a geometry-optimized Th3ScRh12 structure.

Cell: 4.089 4.089 16.297 Å, 90.00 90.00 90.00°
Atoms (fractional coordinates):
Th1 0.000 0.000 0.000
Th2 0.000 0.000 0.256
Th3 0.000 0.000 0.744
Sc1 0.000 0.000 0.500
Rh1 0.000 0.500 0.128
Rh2 0.000 0.500 0.386
Rh3 0.000 0.500 0.614
Rh4 0.000 0.500 0.872
Rh5 0.500 0.000 0.128
Rh6 0.500 0.000 0.386
Rh7 0.500 0.000 0.614
Rh8 0.500 0.000 0.872
Rh9 0.500 0.500 0.000
Rh10 0.500 0.500 0.256
Rh11 0.500 0.500 0.500
Rh12 0.500 0.500 0.744

Spin magnetization = 0.00 μB per formula unit
Formation energy = -683 meV/atom
V = 273 Å³/cell
Crystal system = tetragonal



Record 5
Density functional theory data (PBE) for a geometry-optimized PrNd4Er2Sc structure.

Cell: 5.076 5.100 10.089 Å, 90.00 90.00 90.00°
Atoms (fractional coordinates):
Pr1 0.000 0.000 0.000
Nd1 0.000 0.500 0.249
Nd2 0.000 0.500 0.751
Nd3 0.500 0.000 0.250
Nd4 0.500 0.000 0.750
Er1 0.000 0.000 0.500
Er2 0.500 0.500 0.500
Sc1 0.500 0.500 0.000

Spin magnetization = 0.00 μB per formula unit
Formation energy = 25 meV/atom
V = 261 Å³/cell
Crystal system = orthorhombic



Record 6
Density functional theory data (PBE) for a geometry-optimized Pa2TcMo structure.

Cell: 6.919 6.919 6.919 Å, 90.00 90.00 90.00°
Atoms (fractional coordinates):
Pa1 0.250 0.250 0.250
Pa2 0.250 0.250 0.750
Pa3 0.250 0.750 0.250
Pa4 0.250 0.750 0.750
Pa5 0.750 0.250 0.250
Pa6 0.750 0.250 0.750
Pa7 0.750 0.750 0.250
Pa8 0.750 0.750 0.750
Tc1 0.000 0.000 0.000
Tc2 0.000 0.500 0.500
Tc3 0.500 0.000 0.500
Tc4 0.500 0.500 0.000
Mo1 0.000 0.000 0.500
Mo2 0.000 0.500 0.000
Mo3 0.500 0.000 0.000
Mo4 0.500 0.500 0.500

Spin magnetization = 0.00 μB per formula unit
Energy above the most stable polymorph in this dataset = 0 meV/atom
Formation energy = 15 meV/atom
V = 331 Å³/cell
Crystal system = cubic



Record 7
Density functional theory data (PBE) for a geometry-optimized InBMo2 structure.

Cell: 3.747 3.747 18.669 Å, 90.00 90.00 90.00°
Atoms (fractional coordinates):
In1 0.000 0.000 0.000
In2 0.000 0.500 0.250
In3 0.500 0.000 0.750
In4 0.500 0.500 0.500
B1 0.000 0.000 0.500
B2 0.000 0.500 0.750
B3 0.500 0.000 0.250
B4 0.500 0.500 0.000
Mo1 0.208 0.250 0.625
Mo2 0.250 0.708 0.875
Mo3 0.250 0.792 0.375
Mo4 0.292 0.250 0.125
Mo5 0.708 0.750 0.125
Mo6 0.750 0.208 0.375
Mo7 0.750 0.292 0.875
Mo8 0.792 0.750 0.625

Spin magnetization = 0.00 μB per formula unit
Energy above the most stable polymorph in this dataset = 40 meV/atom
Formation energy = 971 meV/atom
V = 262 Å³/cell
Crystal system = tetragonal



Record 8
Density functional theory data (PBE) for a geometry-optimized HgGe3As structure.

Cell: 5.092 5.092 5.092 Å, 90.00 90.00 90.00°
Atoms (fractional coordinates):
Hg1 0.000 0.000 0.000
Ge1 0.000 0.500 0.500
Ge2 0.500 0.000 0.500
Ge3 0.500 0.500 0.000
As1 0.500 0.500 0.500

Spin magnetization = 0.00 μB per formula unit
Energy above the most stable polymorph in this dataset = 0 meV/atom
Formation energy = 672 meV/atom
V = 132 Å³/cell
Crystal system = cubic



Record 9
Density functional theory data (PBE) for a geometry-optimized TbPm2HfP4 structure.

Cell: 6.899 3.978 6.913 Å, 90.00 109.20 90.00°
Atoms (fractional coordinates):
Tb1 0.000 0.000 0.000
Pm1 0.000 0.500 0.500
Pm2 0.500 0.000 0.500
Hf1 0.500 0.500 0.000
P1 0.256 0.500 0.235
P2 0.267 0.000 0.771
P3 0.733 0.000 0.229
P4 0.744 0.500 0.765

Spin magnetization = 0.00 μB per formula unit
Formation energy = -1500 meV/atom
V = 179 Å³/cell
Crystal system = monoclinic



Record 10
Density functional theory data (PBE) for a geometry-optimized Ni15Sn4Sb structure.

Cell: 3.729 3.729 18.680 Å, 90.00 90.00 90.00°
Atoms (fractional coordinates):
Ni1 0.000 0.000 0.000
Ni2 0.000 0.000 0.199
Ni3 0.000 0.000 0.400
Ni4 0.000 0.000 0.600
Ni5 0.000 0.000 0.801
Ni6 0.000 0.500 0.099
Ni7 0.000 0.500 0.300
Ni8 0.000 0.500 0.500
Ni9 0.000 0.500 0.700
Ni10 0.000 0.500 0.901
Ni11 0.500 0.000 0.099
Ni12 0.500 0.000 0.300
Ni13 0.500 0.000 0.500
Ni14 0.500 0.000 0.700
Ni15 0.500 0.000 0.901
Sn1 0.500 0.500 0.201
Sn2 0.500 0.500 0.400
Sn3 0.500 0.500 0.600
Sn4 0.500 0.500 0.799
Sb1 0.500 0.500 0.000

Spin magnetization = 0.00 μB per formula unit
V = 260 Å³/cell
Raw formation energy = -0.18 eV/atom
Crystal system = tetragonal



Record 11
Density functional theory data (PBE) for a geometry-optimized Zn2HgIr structure.

Cell: 3.016 4.474 4.733 Å, 90.00 90.00 90.00°
Atoms (fractional coordinates):
Zn1 0.000 0.000 0.000
Zn2 0.000 0.500 0.379
Hg1 0.500 0.500 0.871
Ir1 0.500 0.000 0.476

Spin magnetization = 0.00 μB per formula unit
Formation energy = 71 meV/atom
V = 64 Å³/cell
Crystal system = orthorhombic



Record 12
Density functional theory data (PBE) for a geometry-optimized V8FeMo3 structure.

Cell: 5.008 5.008 7.790 Å, 90.00 90.00 120.00°
Atoms (fractional coordinates):
V1 0.170 0.341 0.237
V2 0.170 0.830 0.237
V3 0.333 0.667 0.943
V4 0.341 0.170 0.763
V5 0.659 0.830 0.237
V6 0.667 0.333 0.057
V7 0.830 0.170 0.763
V8 0.830 0.659 0.763
Fe1 0.000 0.000 0.000
Mo1 0.000 0.000 0.500
Mo2 0.333 0.667 0.560
Mo3 0.667 0.333 0.440

Spin magnetization = 0.01 μB per formula unit
Formation energy = 50 meV/atom
V = 169 Å³/cell
Crystal system = trigonal



Question: What is the formula in the tenth record?
Answer: Ni15Sn4Sb